{"formula": "Ac2NiAuO6", "functional": "PBE with a Hubbard U", "state": "optimized geometry", "space_group": "P4/mmm, No. 123", "e_tot_ev_per_atom": -6.21, "cell": [[-3.8104, 1.0625, 1.4148], [0.4727, -3.8469, 4.1620], [2.3481, 3.9341, 3.3696]], "species": ["O", "O", "O", "O", "O", "O", "Ac", "Ac", "Ni", "Au"], "fractional_positions": [[0.1447, 0.5000, 0.5000], [0.6447, 0.7498, 0.7498], [0.1447, 0.0000, 0.0000], [0.6447, 0.7498, 0.2502], [0.6447, 0.2502, 0.2502], [0.6447, 0.2502, 0.7498], [0.1447, 0.0000, 0.5000], [0.1447, 0.5000, 0.0000], [0.6446, 0.5000, 0.5000], [0.6447, 0.0000, 0.0000]]}